First-principles (PBE with a Hubbard U) data for an optimized crystal structure of Si3NiO, as listed in Alexandria via LeMat-Bulk.

CIF file:
```
data_Si3NiO
_chemical_formula_sum 'Si3 Ni1 O1'
_cell_length_a 4.253
_cell_length_b 4.253
_cell_length_c 4.253
_cell_angle_alpha 90.00
_cell_angle_beta 90.00
_cell_angle_gamma 90.00
_symmetry_space_group_name_H-M 'P 1'
_symmetry_Int_Tables_number 1
_symmetry_space_group_name_Hall 'P 1'
loop_
_atom_site_label
_atom_site_type_symbol
_atom_site_fract_x
_atom_site_fract_y
_atom_site_fract_z
O1 O 0.500 0.500 0.500
Si1 Si 0.000 0.500 0.000
Si2 Si 0.000 0.000 0.500
Si3 Si 0.500 0.000 0.000
Ni1 Ni 0.000 0.000 0.000
```

Computed properties:
- M_tot (μB per cell) = 0.00
- N(E_F) (states/eV/f.u.) = 0.95
- excess energy over the best structure of this formula in the dataset (eV per atom) = 0.205